# Ca2AcPr PBE-GGA relaxed
# * total energy: -3.134 eV per atom
# * D(E_F): 5.66 states/eV per cell
# * DFT formation energy: 0.09 eV per atom
# * calculated volume: 162.2 Å³/f.u.
data_Ca2AcPr
_chemical_formula_sum 'Ca2 Ac1 Pr1'
_space_group_name_H-M_alt 'P 4/m m m'
_space_group_IT_number 123
_space_group_name_Hall '-P 4 2'
_cell_length_a 5.318
_cell_length_b 5.318
_cell_length_c 5.737
_cell_angle_alpha 90.00
_cell_angle_beta 90.00
_cell_angle_gamma 90.00
loop_
_atom_site_label
_atom_site_type_symbol
_atom_site_fract_x
_atom_site_fract_y
_atom_site_fract_z
Ca1 Ca 0.000 0.500 0.000
Ac1 Ac 0.000 0.000 0.500
Pr1 Pr 0.500 0.500 0.500